Entry 1:
A plane-wave DFT calculation with PBE was carried out for a relaxed structure of SmCoH.

Computed properties:
Crystal system ... trigonal
Total DFT energy (no corrections) ... -32.4 eV/cell
Symmetry ... R-3m (166)

Cell: 3.852 3.852 7.627 Å, 75.37 75.37 60.00°
Sites, in units of the cell vectors:
Sm 0.407 0.407 0.780
H 0.701 0.701 0.898
Sm 0.593 0.593 0.220
H 0.299 0.299 0.102
Co 0.834 0.834 0.498
Co 0.166 0.166 0.502


Entry 2:
A plane-wave DFT calculation with PBE was carried out for a relaxed structure of La4Te2PPt.

Computed properties:
ΔE_f (raw) ... -11.849 eV per formula unit
Crystal system ... monoclinic
Total DFT energy (no corrections) ... -49.3 eV/cell
Symmetry ... P2/m (10)

Cell: 4.333 7.685 7.858 Å, 108.77 90.00 90.00°
Sites, in units of the cell vectors:
La 0.500 0.766 0.779
La 0.000 0.263 0.784
La 0.500 0.234 0.221
Pt 0.500 0.500 0.000
P 0.000 0.000 0.000
La 0.000 0.737 0.216
Te 0.500 0.000 0.500
Te 0.000 0.500 0.500


Entry 3:
A plane-wave DFT calculation with PBE was carried out for a relaxed structure of NpHgAu2.

Computed properties:
ΔE_f ... -57 meV/atom
Crystal system ... tetragonal
Total DFT energy (no corrections) ... -20.0 eV/cell
Symmetry ... P4/mmm (123)

Cell: 3.254 3.254 8.168 Å, 90.00 90.00 90.00°
Sites, in units of the cell vectors:
Au 0.000 0.000 0.745
Np 0.500 0.500 0.000
Hg 0.500 0.500 0.500
Au 0.000 0.000 0.255


| no. | DOS at the Fermi energy (states/eV per atom) | size of the total moment (μB/cell) |
| --- | --- | --- |
| 1 | 0.696 | 1.1 |
| 2 | 0.872 | 0.0 |
| 3 | 1.471 | 4.6 |